Here is Pr4B3Rh12 at its PBEsol-relaxed geometry from Alexandria. Energies are from meta-GGA SCAN.

Lattice parameters (Å, degrees): 4.205 4.205 16.386 90.00 90.00 90.00
Fractional positions:
Rh: 0.500 0.500 0.888
Rh: 0.000 0.500 0.753
Rh: 0.500 0.000 0.500
Rh: 0.500 0.500 0.112
Rh: 0.000 0.500 0.000
Rh: 0.500 0.500 0.629
Rh: 0.500 0.000 0.000
Rh: 0.500 0.500 0.371
Rh: 0.000 0.500 0.247
Rh: 0.500 0.000 0.753
Rh: 0.000 0.500 0.500
Rh: 0.500 0.000 0.247
B: 0.500 0.500 0.237
B: 0.500 0.500 0.500
B: 0.500 0.500 0.763
Pr: 0.000 0.000 0.879
Pr: 0.000 0.000 0.121
Pr: 0.000 0.000 0.374
Pr: 0.000 0.000 0.626

Summary:
The energy of formation is -0.664 eV per atom. For the total energy, the calculation gives -32.29 eV/atom.